(i)
Entry from the Alexandria database: HfSbPbI2 after structural relaxation (PBE).

```
5
Lattice="5.489 0.000 0.000 0.000 6.193 0.000 0.000 0.000 5.489" Properties=species:S:1:pos:R:3 pbc="T T T"
I 2.744 0.000 0.000
Pb 0.000 3.096 0.000
I 0.000 0.000 2.744
Sb 2.744 3.096 2.744
Hf 0.000 0.000 0.000
```

Results
N(E_F), states/eV/f.u.: 3.92
Total magnetization, μB/cell: 1.3



(ii)
Entry from the Alexandria database: HfSbPbI2 after structural relaxation (PBE).

```
5
Lattice="5.679 0.000 0.000 0.000 5.679 0.000 0.000 0.000 5.855" Properties=species:S:1:pos:R:3 pbc="T T T"
I 0.000 2.840 0.000
I 2.840 0.000 0.000
Pb 2.840 2.840 2.928
Sb 0.000 0.000 2.928
Hf 0.000 0.000 0.000
```

Results
N(E_F), states/eV/f.u.: 3.69
Total magnetization, μB/cell: 0.0



It turns out (ii) is the most stable, with the second structure 22.2 kJ/mol of atoms higher.



(i)
Entry from the Alexandria database: HfPd3I after structural relaxation (PBE).

```
5
Lattice="-1.693 -4.657 0.712 1.538 -1.262 -4.594 4.453 -1.335 1.858" Properties=species:S:1:pos:R:3 pbc="T T T"
I 2.149 -3.627 -1.012
Hf 0.000 0.000 0.000
Pd 0.769 -0.631 -2.297
Pd 2.226 -0.667 0.929
Pd -0.847 -2.328 0.356
```

Results
N(E_F), states/eV/f.u.: 3.52
Total magnetization, μB/cell: 0.0



(ii)
Entry from the Alexandria database: HfPd3I after structural relaxation (PBE).

```
5
Lattice="-2.544 -0.711 -4.130 -1.433 -4.392 1.639 -3.938 2.057 2.072" Properties=species:S:1:pos:R:3 pbc="T T T"
Hf -3.957 -1.523 -0.210
I 0.000 0.000 0.000
Pd -1.272 -0.355 -2.065
Pd -1.969 1.029 1.036
Pd -0.716 -2.196 0.819
```

Results
N(E_F), states/eV/f.u.: 5.82
Total magnetization, μB/cell: 0.0



It turns out (i) is the most stable, with the second structure 29.9 kJ/mol of atoms higher.